{"formula": "CsLiGe2B", "functional": "SCAN", "state": "single point on PBEsol structure", "total_energy_ev_per_atom": -14.995, "space_group": "P4/mmm, No. 123", "e_form_mev_per_atom": 2166, "volume_a3_per_atom": 31.9, "n_ef_per_ev_cell": 4.7, "lattice_angstrom": [[5.684, 0.000, 0.000], [0.000, 5.684, 0.000], [0.000, 0.000, 4.941]], "species": ["Cs", "Li", "Ge", "Ge", "B"], "fractional_positions": [[0.000, 0.000, 0.000], [0.500, 0.500, 0.500], [0.000, 0.500, 0.000], [0.500, 0.000, 0.000], [0.000, 0.000, 0.500]]}

{"formula": "CsSn2GeB", "functional": "SCAN", "state": "single point on PBEsol structure", "total_energy_ev_per_atom": -26.470, "space_group": "P4/mmm, No. 123", "e_form_mev_per_atom": 764, "volume_a3_per_atom": 25.0, "n_ef_per_ev_cell": 1.9, "lattice_angstrom": [[5.115, 0.000, 0.000], [0.000, 5.115, 0.000], [0.000, 0.000, 4.780]], "species": ["Cs", "Sn", "Sn", "Ge", "B"], "fractional_positions": [[0.000, 0.000, 0.000], [0.000, 0.500, 0.500], [0.500, 0.000, 0.500], [0.500, 0.500, 0.000], [0.500, 0.500, 0.500]]}

{"formula": "CsB3H3", "functional": "SCAN", "state": "single point on PBEsol structure", "total_energy_ev_per_atom": -10.447, "space_group": "Fm-3m, No. 225", "volume_a3_per_atom": 14.7, "n_ef_per_ev_cell": 0.0, "lattice_angstrom": [[0.000, 4.690, 4.690], [4.690, 0.000, 4.690], [4.690, 4.690, 0.000]], "species": ["Cs", "Cs", "B", "B", "B", "B", "B", "B", "H", "H", "H", "H", "H", "H"], "fractional_positions": [[0.250, 0.250, 0.250], [0.750, 0.750, 0.750], [0.130, 0.130, 0.870], [0.130, 0.870, 0.130], [0.130, 0.870, 0.870], [0.870, 0.130, 0.130], [0.870, 0.130, 0.870], [0.870, 0.870, 0.130], [0.260, 0.260, 0.740], [0.260, 0.740, 0.260], [0.260, 0.740, 0.740], [0.740, 0.260, 0.260], [0.740, 0.260, 0.740], [0.740, 0.740, 0.260]]}

{"formula": "CsB3H8", "functional": "SCAN", "state": "single point on PBEsol structure", "total_energy_ev_per_atom": -7.612, "space_group": "Cmcm, No. 63", "volume_a3_per_atom": 10.7, "n_ef_per_ev_cell": 0.0, "lattice_angstrom": [[3.556, -4.186, 0.000], [3.556, 4.186, 0.000], [0.000, 0.000, 8.597]], "species": ["Cs", "Cs", "B", "B", "B", "B", "B", "B", "H", "H", "H", "H", "H", "H", "H", "H", "H", "H", "H", "H", "H", "H", "H", "H"], "fractional_positions": [[0.174, 0.826, 0.750], [0.826, 0.174, 0.250], [0.223, 0.777, 0.147], [0.223, 0.777, 0.353], [0.405, 0.595, 0.250], [0.595, 0.405, 0.750], [0.777, 0.223, 0.647], [0.777, 0.223, 0.853], [0.019, 0.691, 0.097], [0.019, 0.691, 0.403], [0.309, 0.981, 0.097], [0.309, 0.981, 0.403], [0.343, 0.372, 0.250], [0.361, 0.639, 0.085], [0.361, 0.639, 0.415], [0.372, 0.343, 0.750], [0.628, 0.657, 0.250], [0.639, 0.361, 0.585], [0.639, 0.361, 0.915], [0.657, 0.628, 0.750], [0.691, 0.019, 0.597], [0.691, 0.019, 0.903], [0.981, 0.309, 0.597], [0.981, 0.309, 0.903]]}

{"formula": "Cs3BH", "functional": "SCAN", "state": "single point on PBEsol structure", "total_energy_ev_per_atom": -24.004, "space_group": "Pm-3m, No. 221", "volume_a3_per_atom": 47.6, "n_ef_per_ev_cell": 2.6, "lattice_angstrom": [[6.195, 0.000, 0.000], [0.000, 6.195, 0.000], [0.000, 0.000, 6.195]], "species": ["Cs", "Cs", "Cs", "B", "H"], "fractional_positions": [[0.000, 0.000, 0.500], [0.000, 0.500, 0.000], [0.500, 0.000, 0.000], [0.000, 0.000, 0.000], [0.500, 0.500, 0.500]]}

{"formula": "CsB6H6", "functional": "SCAN", "state": "single point on PBEsol structure", "total_energy_ev_per_atom": -8.378, "space_group": "Fm-3, No. 202", "volume_a3_per_atom": 12.8, "n_ef_per_ev_cell": 0.0, "lattice_angstrom": [[0.000, 5.502, 5.502], [5.502, 0.000, 5.502], [5.502, 5.502, 0.000]], "species": ["Cs", "Cs", "B", "B", "B", "B", "B", "B", "B", "B", "B", "B", "B", "B", "H", "H", "H", "H", "H", "H", "H", "H", "H", "H", "H", "H"], "fractional_positions": [[0.250, 0.250, 0.250], [0.750, 0.750, 0.750], [0.050, 0.211, 0.950], [0.050, 0.789, 0.211], [0.050, 0.950, 0.789], [0.211, 0.050, 0.789], [0.211, 0.789, 0.950], [0.211, 0.950, 0.050], [0.789, 0.050, 0.950], [0.789, 0.211, 0.050], [0.789, 0.950, 0.211], [0.950, 0.050, 0.211], [0.950, 0.211, 0.789], [0.950, 0.789, 0.050], [0.087, 0.362, 0.913], [0.087, 0.638, 0.362], [0.087, 0.913, 0.638], [0.362, 0.087, 0.638], [0.362, 0.638, 0.913], [0.362, 0.913, 0.087], [0.638, 0.087, 0.913], [0.638, 0.362, 0.087], [0.638, 0.913, 0.362], [0.913, 0.087, 0.362], [0.913, 0.362, 0.638], [0.913, 0.638, 0.087]]}

{"formula": "CsB2H5O6", "functional": "SCAN", "state": "single point on PBEsol structure", "total_energy_ev_per_atom": -9.452, "space_group": "P2_1/c, No. 14", "volume_a3_per_atom": 10.8, "n_ef_per_ev_cell": 0.0, "lattice_angstrom": [[8.312, 0.000, 0.000], [0.000, 11.272, 0.000], [-0.226, 0.000, 12.858]], "species": ["Cs", "Cs", "Cs", "Cs", "Cs", "Cs", "Cs", "Cs", "B", "B", "B", "B", "B", "B", "B", "B", "B", "B", "B", "B", "B", "B", "B", "B", "H", "H", "H", "H", "H", "H", "H", "H", "H", "H", "H", "H", "H", "H", "H", "H", "H", "H", "H", "H", "H", "H", "H", "H", "H", "H", "H", "H", "H", "H", "H", "H", "H", "H", "H", "H", "H", "H", "H", "H", "O", "O", "O", "O", "O", "O", "O", "O", "O", "O", "O", "O", "O", "O", "O", "O", "O", "O", "O", "O", "O", "O", "O", "O", "O", "O", "O", "O", "O", "O", "O", "O", "O", "O", "O", "O", "O", "O", "O", "O", "O", "O", "O", "O", "O", "O", "O", "O"], "fractional_positions": [[0.049, 0.073, 0.141], [0.049, 0.427, 0.641], [0.226, 0.553, 0.018], [0.226, 0.947, 0.518], [0.774, 0.053, 0.482], [0.774, 0.447, 0.982], [0.951, 0.573, 0.359], [0.951, 0.927, 0.859], [0.355, 0.738, 0.736], [0.355, 0.762, 0.236], [0.374, 0.627, 0.571], [0.374, 0.873, 0.071], [0.393, 0.135, 0.801], [0.393, 0.365, 0.301], [0.396, 0.147, 0.302], [0.396, 0.353, 0.802], [0.604, 0.647, 0.198], [0.604, 0.853, 0.698], [0.607, 0.635, 0.699], [0.607, 0.865, 0.199], [0.626, 0.127, 0.929], [0.626, 0.373, 0.429], [0.645, 0.238, 0.764], [0.645, 0.262, 0.264], [0.063, 0.659, 0.821], [0.063, 0.841, 0.321], [0.071, 0.703, 0.607], [0.071, 0.797, 0.107], [0.114, 0.098, 0.702], [0.114, 0.402, 0.202], [0.121, 0.221, 0.881], [0.121, 0.279, 0.381], [0.265, 0.696, 0.369], [0.265, 0.804, 0.869], [0.335, 0.528, 0.250], [0.335, 0.972, 0.750], [0.369, 0.520, 0.447], [0.369, 0.980, 0.947], [0.383, 0.531, 0.792], [0.383, 0.969, 0.292], [0.400, 0.243, 0.503], [0.400, 0.257, 0.003], [0.466, 0.173, 0.604], [0.466, 0.327, 0.104], [0.534, 0.673, 0.896], [0.534, 0.827, 0.396], [0.600, 0.743, 0.997], [0.600, 0.757, 0.497], [0.617, 0.031, 0.708], [0.617, 0.469, 0.208], [0.631, 0.020, 0.053], [0.631, 0.480, 0.553], [0.665, 0.028, 0.250], [0.665, 0.472, 0.750], [0.735, 0.196, 0.131], [0.735, 0.304, 0.631], [0.879, 0.721, 0.619], [0.879, 0.779, 0.119], [0.886, 0.598, 0.798], [0.886, 0.902, 0.298], [0.929, 0.203, 0.893], [0.929, 0.297, 0.393], [0.937, 0.159, 0.679], [0.937, 0.341, 0.179], [0.020, 0.104, 0.652], [0.020, 0.396, 0.152], [0.035, 0.194, 0.928], [0.035, 0.306, 0.428], [0.227, 0.744, 0.309], [0.227, 0.756, 0.809], [0.278, 0.048, 0.767], [0.278, 0.452, 0.267], [0.281, 0.694, 0.636], [0.281, 0.806, 0.136], [0.304, 0.585, 0.480], [0.304, 0.915, 0.980], [0.310, 0.249, 0.815], [0.310, 0.251, 0.315], [0.314, 0.042, 0.305], [0.314, 0.458, 0.805], [0.441, 0.649, 0.218], [0.441, 0.851, 0.718], [0.447, 0.169, 0.527], [0.447, 0.331, 0.027], [0.469, 0.097, 0.904], [0.469, 0.403, 0.404], [0.475, 0.650, 0.773], [0.475, 0.850, 0.273], [0.525, 0.150, 0.727], [0.525, 0.350, 0.227], [0.531, 0.597, 0.596], [0.531, 0.903, 0.096], [0.553, 0.669, 0.973], [0.553, 0.831, 0.473], [0.559, 0.149, 0.282], [0.559, 0.351, 0.782], [0.686, 0.542, 0.195], [0.686, 0.958, 0.695], [0.690, 0.749, 0.685], [0.690, 0.751, 0.185], [0.696, 0.085, 0.020], [0.696, 0.415, 0.520], [0.719, 0.194, 0.864], [0.719, 0.306, 0.364], [0.722, 0.548, 0.733], [0.722, 0.952, 0.233], [0.773, 0.244, 0.191], [0.773, 0.256, 0.691], [0.965, 0.694, 0.572], [0.965, 0.806, 0.072], [0.980, 0.604, 0.848], [0.980, 0.896, 0.348]]}

{"formula": "Cs2TlBH", "functional": "SCAN", "state": "single point on PBEsol structure", "total_energy_ev_per_atom": -31.216, "space_group": "P4/mmm, No. 123", "volume_a3_per_atom": 41.3, "n_ef_per_ev_cell": 1.4, "lattice_angstrom": [[7.078, 0.000, 0.000], [0.000, 7.078, 0.000], [0.000, 0.000, 4.117]], "species": ["Cs", "Cs", "Tl", "B", "H"], "fractional_positions": [[0.000, 0.500, 0.000], [0.500, 0.000, 0.000], [0.000, 0.000, 0.000], [0.000, 0.000, 0.500], [0.500, 0.500, 0.500]]}